## i
Here is crystalline CeDyRu at its relaxed geometry from Alexandria via LeMat-Bulk. Energies are from PBE-GGA.

Values from the calculation:
- spin magnetization (μB per formula unit) = 0.141
- V (Å³ per cell) = 71.04

Cell lengths 4.5033, 4.5033, 4.0451 Å; angles 90.00, 90.00, 120.00 degrees
Element x y z (fractional)
Ce  0.0000  0.0000  0.0000
Dy  0.3333  0.6667  0.5543
Ru  0.6667  0.3333  0.2359

***

## ii
Here is crystalline CeDyRu at its relaxed geometry from Alexandria via LeMat-Bulk. Energies are from PBE-GGA.

Values from the calculation:
- spin magnetization (μB per formula unit) = 0.469
- V (Å³ per cell) = 335.41

Cell lengths 6.8969, 6.4473, 7.5511 Å; angles 90.00, 92.66, 90.00 degrees
Element x y z (fractional)
Ce  0.0832  0.2324  0.1153
Ce  0.0832  0.2676  0.6153
Ce  0.9168  0.7324  0.3847
Ce  0.9168  0.7676  0.8847
Dy  0.4259  0.7477  0.6085
Dy  0.4259  0.7523  0.1085
Dy  0.5741  0.2477  0.8915
Dy  0.5741  0.2523  0.3915
Ru  0.2267  0.0111  0.8428
Ru  0.2267  0.4889  0.3428
Ru  0.7733  0.5111  0.6572
Ru  0.7733  0.9889  0.1572

***

ii is the most stable structure; the next one sits 169 meV/atom above it.

***

## i
Here is crystalline Ce2Dy2Ru3 at its relaxed geometry from Alexandria via LeMat-Bulk. Energies are from PBE-GGA.

Values from the calculation:
- spin magnetization (μB per formula unit) = 0.000
- V (Å³ per cell) = 173.09

Cell lengths 5.9327, 5.9327, 6.9305 Å; angles 101.09, 101.09, 46.53 degrees
Element x y z (fractional)
Ce  0.1291  0.1291  0.3698
Ce  0.8709  0.8709  0.6302
Dy  0.3660  0.3660  0.0855
Dy  0.6340  0.6340  0.9145
Ru  0.0000  0.0000  0.0000
Ru  0.1774  0.1774  0.7059
Ru  0.8226  0.8226  0.2941

***

## ii
Here is crystalline Ce2Dy2Ru3 at its relaxed geometry from Alexandria via LeMat-Bulk. Energies are from PBE-GGA.

Values from the calculation:
- spin magnetization (μB per formula unit) = 0.000
- V (Å³ per cell) = 159.05

Cell lengths 4.6539, 4.6539, 8.7037 Å; angles 108.14, 108.14, 65.23 degrees
Element x y z (fractional)
Ce  0.1195  0.1195  0.3629
Ce  0.8805  0.8805  0.6371
Dy  0.3707  0.3707  0.1193
Dy  0.6293  0.6293  0.8807
Ru  0.2263  0.2263  0.7347
Ru  0.5000  0.5000  0.5000
Ru  0.7737  0.7737  0.2653

***

ii is the most stable structure; the next one sits 8 meV/atom above it.

***

## i
Here is crystalline Ce2Dy3S8 at its relaxed geometry from Alexandria via LeMat-Bulk. Energies are from PBE-GGA.

Values from the calculation:
- spin magnetization (μB per formula unit) = 1.072
- V (Å³ per cell) = 302.93

Cell lengths 8.2897, 8.2897, 4.6647 Å; angles 90.00, 90.00, 109.09 degrees
Element x y z (fractional)
Ce  0.2353  0.7647  0.0000
Ce  0.7647  0.2353  0.0000
Dy  0.2185  0.2185  0.5000
Dy  0.5000  0.5000  0.0000
Dy  0.7815  0.7815  0.5000
S  0.1252  0.8748  0.5000
S  0.1377  0.3815  0.0000
S  0.3815  0.1377  0.0000
S  0.3817  0.6183  0.5000
S  0.6183  0.3817  0.5000
S  0.6185  0.8623  0.0000
S  0.8623  0.6185  0.0000
S  0.8748  0.1252  0.5000

***

## ii
Here is crystalline Ce2Dy3S8 at its relaxed geometry from Alexandria via LeMat-Bulk. Energies are from PBE-GGA.

Values from the calculation:
- spin magnetization (μB per formula unit) = 1.035
- V (Å³ per cell) = 349.95

Cell lengths 8.0837, 8.0837, 6.6691 Å; angles 107.26, 107.26, 58.64 degrees
Element x y z (fractional)
Ce  0.2362  0.2362  0.1661
Ce  0.7638  0.7638  0.8339
Dy  0.2393  0.7607  0.5000
Dy  0.5000  0.5000  0.0000
Dy  0.7607  0.2393  0.5000
S  0.1103  0.1103  0.3958
S  0.1464  0.6038  0.0871
S  0.3850  0.3850  0.5749
S  0.3962  0.8536  0.9129
S  0.6038  0.1464  0.0871
S  0.6150  0.6150  0.4251
S  0.8536  0.3962  0.9129
S  0.8897  0.8897  0.6042

***

ii is the most stable structure; the next one sits 105 meV/atom above it.

***

## i
Here is crystalline CeDyS4 at its relaxed geometry from Alexandria via LeMat-Bulk. Energies are from PBE-GGA.

Values from the calculation:
- spin magnetization (μB per formula unit) = 0.000
- V (Å³ per cell) = 277.68

Cell lengths 7.2547, 7.2547, 6.9047 Å; angles 113.41, 113.41, 101.31 degrees
Element x y z (fractional)
Ce  0.1290  0.8710  0.7500
Ce  0.8710  0.1290  0.2500
Dy  0.4842  0.5158  0.2500
Dy  0.5158  0.4842  0.7500
S  0.1433  0.2686  0.7526
S  0.1784  0.5357  0.3976
S  0.2686  0.1433  0.2526
S  0.4643  0.8216  0.1024
S  0.5357  0.1784  0.8976
S  0.7314  0.8567  0.7474
S  0.8216  0.4643  0.6024
S  0.8567  0.7314  0.2474

***

## ii
Here is crystalline CeDyS4 at its relaxed geometry from Alexandria via LeMat-Bulk. Energies are from PBE-GGA.

Values from the calculation:
- spin magnetization (μB per formula unit) = 0.138
- V (Å³ per cell) = 139.55

Cell lengths 4.4053, 4.4053, 7.1906 Å; angles 90.00, 90.00, 90.00 degrees
Element x y z (fractional)
Ce  0.0000  0.0000  0.0000
Dy  0.0000  0.0000  0.5000
S  0.0000  0.5000  0.2498
S  0.0000  0.5000  0.7502
S  0.5000  0.0000  0.2498
S  0.5000  0.0000  0.7502

***

i is the most stable structure; the next one sits 146 meV/atom above it.

***

## i
Here is crystalline CeDyS3 at its relaxed geometry from Alexandria via LeMat-Bulk. Energies are from PBE-GGA.

Values from the calculation:
- spin magnetization (μB per formula unit) = 0.891
- V (Å³ per cell) = 242.31

Cell lengths 7.8425, 3.9448, 7.8552 Å; angles 90.00, 94.36, 90.00 degrees
Element x y z (fractional)
Ce  0.2325  0.2500  0.3799
Ce  0.7675  0.7500  0.6201
Dy  0.3244  0.2500  0.8547
Dy  0.6756  0.7500  0.1453
S  0.0221  0.2500  0.6808
S  0.3205  0.7500  0.1001
S  0.3843  0.7500  0.6240
S  0.6157  0.2500  0.3760
S  0.6795  0.2500  0.8999
S  0.9779  0.7500  0.3192

***

## ii
Here is crystalline CeDyS3 at its relaxed geometry from Alexandria via LeMat-Bulk. Energies are from PBE-GGA.

Values from the calculation:
- spin magnetization (μB per formula unit) = 0.922
- V (Å³ per cell) = 449.54

Cell lengths 7.3860, 3.9818, 15.2855 Å; angles 90.00, 90.00, 90.00 degrees
Element x y z (fractional)
Ce  0.1399  0.2500  0.2032
Ce  0.3601  0.7500  0.7032
Ce  0.6399  0.2500  0.2968
Ce  0.8601  0.7500  0.7968
Dy  0.2337  0.7500  0.4563
Dy  0.2663  0.2500  0.9563
Dy  0.7337  0.7500  0.0437
Dy  0.7663  0.2500  0.5437
S  0.0113  0.2500  0.3945
S  0.1254  0.7500  0.0642
S  0.1488  0.2500  0.7821
S  0.3512  0.7500  0.2821
S  0.3746  0.2500  0.5642
S  0.4887  0.7500  0.8945
S  0.5113  0.2500  0.1055
S  0.6254  0.7500  0.4358
S  0.6488  0.2500  0.7179
S  0.8512  0.7500  0.2179
S  0.8746  0.2500  0.9358
S  0.9887  0.7500  0.6055

***

ii is the most stable structure; the next one sits 31 meV/atom above it.

***

## i
Here is crystalline CeDy2Sb at its relaxed geometry from Alexandria via LeMat-Bulk. Energies are from PBE-GGA.

Values from the calculation:
- spin magnetization (μB per formula unit) = 1.723
- V (Å³ per cell) = 131.17

Cell lengths 10.0000, 10.0000, 10.0000 Å; angles 22.75, 22.75, 22.75 degrees
Element x y z (fractional)
Ce  0.0000  0.0000  0.0000
Dy  0.2338  0.2338  0.2338
Dy  0.7662  0.7662  0.7662
Sb  0.5000  0.5000  0.5000

***

## ii
Here is crystalline CeDy2Sb at its relaxed geometry from Alexandria via LeMat-Bulk. Energies are from PBE-GGA.

Values from the calculation:
- spin magnetization (μB per formula unit) = 0.408
- V (Å³ per cell) = 108.71

Cell lengths 4.8483, 4.8483, 4.6245 Å; angles 90.00, 90.00, 90.00 degrees
Element x y z (fractional)
Ce  0.0000  0.0000  0.0000
Dy  0.0000  0.5000  0.5000
Dy  0.5000  0.0000  0.5000
Sb  0.5000  0.5000  0.0000

***

## iii
Here is crystalline CeDy2Sb at its relaxed geometry from Alexandria via LeMat-Bulk. Energies are from PBE-GGA.

Values from the calculation:
- spin magnetization (μB per formula unit) = 0.343
- V (Å³ per cell) = 112.26

Cell lengths 3.9322, 3.9322, 7.2604 Å; angles 90.00, 90.00, 90.00 degrees
Element x y z (fractional)
Ce  0.0000  0.0000  0.0000
Dy  0.5000  0.5000  0.2763
Dy  0.5000  0.5000  0.7237
Sb  0.0000  0.0000  0.5000

***

ii is the most stable structure; the next one sits 39 meV/atom above it.

***

## i
Here is crystalline CeDy2Sc4 at its relaxed geometry from Alexandria via LeMat-Bulk. Energies are from PBE-GGA.

Values from the calculation:
- spin magnetization (μB per formula unit) = 0.580
- V (Å³ per cell) = 189.57

Cell lengths 3.3974, 3.3974, 19.0656 Å; angles 95.12, 95.12, 60.00 degrees
Element x y z (fractional)
Ce  0.0000  0.0000  0.0000
Dy  0.8086  0.8086  0.4231
Dy  0.9047  0.9047  0.7110
Sc  0.0927  0.0927  0.2780
Sc  0.1902  0.1902  0.5670
Sc  0.6191  0.6191  0.8558
Sc  0.7150  0.7150  0.1453

***

## ii
Here is crystalline CeDy2Sc4 at its relaxed geometry from Alexandria via LeMat-Bulk. Energies are from PBE-GGA.

Values from the calculation:
- spin magnetization (μB per formula unit) = 0.886
- V (Å³ per cell) = 197.76

Cell lengths 10.7438, 10.7438, 5.2520 Å; angles 90.00, 90.00, 160.96 degrees
Element x y z (fractional)
Ce  0.0000  0.0000  0.0000
Dy  0.4258  0.5742  0.5000
Dy  0.5742  0.4258  0.5000
Sc  0.1971  0.8029  0.5000
Sc  0.3195  0.6805  0.0000
Sc  0.6805  0.3195  0.0000
Sc  0.8029  0.1971  0.5000

***

i is the most stable structure; the next one sits 143 meV/atom above it.

***

## i
Here is crystalline CeDy2Sc at its relaxed geometry from Alexandria via LeMat-Bulk. Energies are from PBE-GGA.

Values from the calculation:
- spin magnetization (μB per formula unit) = 2.961
- V (Å³ per cell) = 119.83

Cell lengths 5.5339, 5.5339, 5.5339 Å; angles 60.00, 60.00, 60.00 degrees
Element x y z (fractional)
Ce  0.0000  0.0000  0.0000
Dy  0.2500  0.2500  0.2500
Dy  0.7500  0.7500  0.7500
Sc  0.5000  0.5000  0.5000

***

## ii
Here is crystalline CeDy2Sc at its relaxed geometry from Alexandria via LeMat-Bulk. Energies are from PBE-GGA.

Values from the calculation:
- spin magnetization (μB per formula unit) = 0.643
- V (Å³ per cell) = 116.49

Cell lengths 11.4292, 11.4292, 11.4292 Å; angles 17.40, 17.40, 17.40 degrees
Element x y z (fractional)
Ce  0.0000  0.0000  0.0000
Dy  0.2477  0.2477  0.2477
Dy  0.4202  0.4202  0.4202
Sc  0.8343  0.8343  0.8343

***

## iii
Here is crystalline CeDy2Sc at its relaxed geometry from Alexandria via LeMat-Bulk. Energies are from PBE-GGA.

Values from the calculation:
- spin magnetization (μB per formula unit) = 0.638
- V (Å³ per cell) = 116.77

Cell lengths 3.4468, 3.4468, 9.8293 Å; angles 90.00, 90.00, 90.00 degrees
Element x y z (fractional)
Ce  0.0000  0.0000  0.0000
Dy  0.5000  0.5000  0.2571
Dy  0.5000  0.5000  0.7429
Sc  0.0000  0.0000  0.5000

***

ii is the most stable structure; the next one sits 7 meV/atom above it.